1.
Density functional theory data (PBE) for a geometry-optimized VGeN structure.

Cell: 5.130 5.130 5.130 Å, 33.35 33.35 33.35°
Fractional positions:
V: 0.000 0.000 0.000
Ge: 0.464 0.464 0.464
N: 0.591 0.591 0.591

- Symmetry: R3m (160)
- E above lowest polymorph: 205.1 meV/atom

2.
Density functional theory data (PBE) for a geometry-optimized V4GeN2 structure.

Cell: 6.163 6.163 6.163 Å, 138.23 138.23 60.55°
Fractional positions:
V: 0.000 0.500 0.500
V: 0.241 0.241 0.000
V: 0.500 0.000 0.500
V: 0.759 0.759 0.000
Ge: 0.000 0.000 0.000
N: 0.402 0.402 0.000
N: 0.598 0.598 0.000

- Symmetry: I4/mmm (139)

| no. | raw formation energy (eV per atom) |
| --- | --- |
| 1 | -0.353 |
| 2 | 0.813 |